DFT (PBE) results for an optimized crystal structure of Ba3HoHg2O6.

Structure (POSCAR):
```
Ba3HoHg2O6
1.0
6.321 0.000 0.000
-3.161 5.474 0.000
0.000 0.000 7.000
Ba Ho Hg O
3 1 2 6
Direct
0.000 0.000 0.000
0.333 0.667 0.614
0.667 0.333 0.386
0.000 0.000 0.500
0.333 0.667 0.130
0.667 0.333 0.870
0.163 0.326 0.312
0.163 0.837 0.312
0.326 0.163 0.688
0.674 0.837 0.312
0.837 0.163 0.688
0.837 0.674 0.688
```

D(E_F)   4.4 states/eV/cell
Raw total energy   -63.69 eV per cell
Formation energy without anion corrections   -1.916 eV per atom

=====

DFT (PBE) results for an optimized crystal structure of BaHo2Hg2Pb2.

Structure (POSCAR):
```
BaHo2Hg2Pb2
1.0
2.589 1.495 9.608
-2.589 1.495 9.608
0.000 -2.989 9.608
Ba Ho Hg Pb
1 2 2 2
Direct
0.000 0.000 0.000
0.136 0.136 0.136
0.864 0.864 0.864
0.444 0.444 0.444
0.556 0.556 0.556
0.257 0.257 0.257
0.743 0.743 0.743
```

D(E_F)   7.5 states/eV/cell
Raw total energy   -21.27 eV per cell
Formation energy from the elements   -0.311 eV/atom

=====

DFT (PBE) results for an optimized crystal structure of BaHg2I.

Structure (POSCAR):
```
BaHg2I
1.0
-2.444 2.444 6.071
2.444 -2.444 6.071
2.444 2.444 -6.071
Ba Hg I
1 2 1
Direct
0.000 0.000 0.000
0.250 0.750 0.500
0.750 0.250 0.500
0.500 0.500 0.000
```

D(E_F)   1.8 states/eV/cell
Raw total energy   -6.97 eV per cell
ΔE to the lowest computed polymorph   0.097 eV per atom
Formation energy without anion corrections   -0.723 eV per atom